Entry 1:
# ScCoSi (GGA-PBEsol, relaxed)
data_ScCoSi
_chemical_formula_sum 'Sc4 Co4 Si4'
_symmetry_space_group_name_H-M 'P 1'
_symmetry_Int_Tables_number 1
_cell_length_a 6.383
_cell_length_b 3.954
_cell_length_c 6.724
_cell_angle_alpha 90.00
_cell_angle_beta 90.00
_cell_angle_gamma 90.00
loop_
_symmetry_equiv_pos_as_xyz
'x,y,z'
loop_
_atom_site_label
_atom_site_fract_x
_atom_site_fract_y
_atom_site_fract_z
Sc1 0.009 0.250 0.193
Sc2 0.491 0.750 0.693
Sc3 0.509 0.250 0.307
Sc4 0.991 0.750 0.807
Co1 0.151 0.750 0.439
Co2 0.349 0.250 0.939
Co3 0.651 0.750 0.061
Co4 0.849 0.250 0.561
Si1 0.205 0.250 0.611
Si2 0.295 0.750 0.111
Si3 0.705 0.250 0.889
Si4 0.795 0.750 0.389
# D(E_F), states/eV/atom: 0.48
# SG: Pnma
# Formation energy from raw total energies, eV/atom: -0.91

***

Entry 2:
# TaNiAs2 (GGA-PBEsol, relaxed)
data_TaNiAs2
_chemical_formula_sum 'Ta1 Ni1 As2'
_symmetry_space_group_name_H-M 'P 1'
_symmetry_Int_Tables_number 1
_cell_length_a 3.391
_cell_length_b 3.391
_cell_length_c 5.286
_cell_angle_alpha 90.00
_cell_angle_beta 90.00
_cell_angle_gamma 90.00
loop_
_symmetry_equiv_pos_as_xyz
'x,y,z'
loop_
_atom_site_label
_atom_site_fract_x
_atom_site_fract_y
_atom_site_fract_z
Ta1 0.000 0.000 0.000
Ni1 0.500 0.500 0.680
As1 0.000 0.000 0.529
As2 0.500 0.500 0.186
# D(E_F), states/eV/atom: 0.70
# SG: P4mm
# DFT formation energy, eV/atom: -0.284

***

Entry 3:
# CdH4Br2O8 (GGA-PBEsol, relaxed)
data_CdH4Br2O8
_chemical_formula_sum 'Cd4 H16 Br8 O32'
_symmetry_space_group_name_H-M 'P 1'
_symmetry_Int_Tables_number 1
_cell_length_a 5.987
_cell_length_b 9.155
_cell_length_c 12.330
_cell_angle_alpha 90.00
_cell_angle_beta 90.00
_cell_angle_gamma 90.00
loop_
_symmetry_equiv_pos_as_xyz
'x,y,z'
loop_
_atom_site_label
_atom_site_fract_x
_atom_site_fract_y
_atom_site_fract_z
Cd1 0.064 0.079 0.284
Cd2 0.436 0.921 0.784
Cd3 0.564 0.421 0.716
Cd4 0.936 0.579 0.216
H1 0.127 0.914 0.103
H2 0.146 0.482 0.612
H3 0.184 0.404 0.071
H4 0.246 0.069 0.079
H5 0.254 0.931 0.579
H6 0.316 0.596 0.571
H7 0.354 0.518 0.112
H8 0.373 0.086 0.603
H9 0.627 0.586 0.897
H10 0.646 0.018 0.388
H11 0.684 0.096 0.929
H12 0.746 0.431 0.921
H13 0.754 0.569 0.421
H14 0.816 0.904 0.429
H15 0.854 0.982 0.888
H16 0.873 0.414 0.397
Br1 0.171 0.645 0.886
Br2 0.191 0.212 0.885
Br3 0.309 0.788 0.385
Br4 0.329 0.355 0.386
Br5 0.671 0.855 0.114
Br6 0.691 0.288 0.115
Br7 0.809 0.712 0.615
Br8 0.829 0.145 0.614
O1 0.080 0.788 0.305
O2 0.082 0.277 0.422
O3 0.107 0.755 0.781
O4 0.139 0.030 0.883
O5 0.195 0.510 0.088
O6 0.210 0.766 0.513
O7 0.236 0.987 0.132
O8 0.247 0.485 0.831
O9 0.253 0.515 0.331
O10 0.264 0.013 0.632
O11 0.290 0.234 0.013
O12 0.305 0.490 0.588
O13 0.361 0.970 0.383
O14 0.393 0.245 0.281
O15 0.418 0.723 0.922
O16 0.420 0.212 0.805
O17 0.580 0.712 0.695
O18 0.582 0.223 0.578
O19 0.607 0.745 0.219
O20 0.639 0.470 0.117
O21 0.695 0.990 0.912
O22 0.710 0.734 0.487
O23 0.736 0.513 0.868
O24 0.747 0.015 0.169
O25 0.753 0.985 0.669
O26 0.764 0.487 0.368
O27 0.790 0.266 0.987
O28 0.805 0.010 0.412
O29 0.861 0.530 0.617
O30 0.893 0.255 0.719
O31 0.918 0.777 0.078
O32 0.920 0.288 0.195
# D(E_F), states/eV/atom: 0.00
# DFT total energy, eV/atom: -4.52
# SG: P2_12_12_1

***

Entry 4:
# Ca2SiSb (GGA-PBEsol, relaxed)
data_Ca2SiSb
_chemical_formula_sum 'Ca2 Si1 Sb1'
_symmetry_space_group_name_H-M 'P 1'
_symmetry_Int_Tables_number 1
_cell_length_a 6.257
_cell_length_b 6.257
_cell_length_c 6.257
_cell_angle_alpha 143.96
_cell_angle_beta 135.47
_cell_angle_gamma 58.57
loop_
_symmetry_equiv_pos_as_xyz
'x,y,z'
loop_
_atom_site_label
_atom_site_fract_x
_atom_site_fract_y
_atom_site_fract_z
Ca1 0.000 0.000 0.000
Ca2 0.731 0.231 0.500
Si1 0.469 0.469 0.000
Sb1 0.281 0.781 0.500
# D(E_F), states/eV/atom: 0.44
# Energy relative to the lowest polymorph listed for this composition, meV per atom: 10.0
# SG: Imm2
# Formation energy from raw total energies, eV/atom: -0.55

***

Entry 5:
# BeCr2Br (GGA-PBEsol, relaxed)
data_BeCr2Br
_chemical_formula_sum 'Be1 Cr2 Br1'
_symmetry_space_group_name_H-M 'P 1'
_symmetry_Int_Tables_number 1
_cell_length_a 3.019
_cell_length_b 4.155
_cell_length_c 4.374
_cell_angle_alpha 90.00
_cell_angle_beta 90.00
_cell_angle_gamma 90.00
loop_
_symmetry_equiv_pos_as_xyz
'x,y,z'
loop_
_atom_site_label
_atom_site_fract_x
_atom_site_fract_y
_atom_site_fract_z
Be1 0.000 0.000 0.000
Cr1 0.000 0.500 0.500
Cr2 0.500 0.500 0.000
Br1 0.500 0.000 0.500
# D(E_F), states/eV/atom: 0.62
# Energy relative to the lowest polymorph listed for this composition, meV per atom: 245.6
# SG: Pmmm
# Formation energy from raw total energies, eV/atom: 0.80

***

Entry 6:
# Tl2SiAu (GGA-PBEsol, relaxed)
data_Tl2SiAu
_chemical_formula_sum 'Tl2 Si1 Au1'
_symmetry_space_group_name_H-M 'P 1'
_symmetry_Int_Tables_number 1
_cell_length_a 4.173
_cell_length_b 4.173
_cell_length_c 6.991
_cell_angle_alpha 107.27
_cell_angle_beta 107.27
_cell_angle_gamma 60.36
loop_
_symmetry_equiv_pos_as_xyz
'x,y,z'
loop_
_atom_site_label
_atom_site_fract_x
_atom_site_fract_y
_atom_site_fract_z
Tl1 0.000 0.000 0.000
Tl2 0.210 0.210 0.632
Si1 0.768 0.768 0.303
Au1 0.444 0.444 0.333
# D(E_F), states/eV/atom: 0.36
# Energy relative to the lowest polymorph listed for this composition, meV per atom: 0.0
# SG: Cm
# Formation energy from raw total energies, eV/atom: 0.04